## Na2LaInI (PBE)

Data for a relaxed structure of Na2LaInI.

Results
Space group: P4/mmm
ΔE_f (raw) (eV/atom): 0.337
Calculated volume (A^3/atom): 53.03
Size of the total moment (μB per formula unit): 0.00
Density (Mg/m³): 2.672

Cell and atoms, written as extended XYZ:
```
5
Lattice="-2.407 -1.516 -6.000 -1.313 -5.544 1.928 -6.016 2.081 1.888" Properties=species:S:1:pos:R:3 pbc="T T T"
I -0.656 -2.772 0.964
Na -3.008 1.040 0.944
Na -1.203 -0.758 -3.000
In -4.868 -2.490 -1.092
La 0.000 0.000 0.000
```